La6Nd2Sm: optimized geometry, PBE-GGA. Values from VASP.

- ΔE_f (meV/atom) = 112
- DOS at the Fermi energy (states/eV per atom) = 1.62
- polymorph energy (0 for the lowest one) (meV per atom) = 0

```
&SYSTEM
  ibrav = 0, nat = 9, ntyp = 3
/
ATOMIC_SPECIES
La 138.91 La.upf
Sm 150.36 Sm.upf
Nd 144.24 Nd.upf
CELL_PARAMETERS angstrom
3.702 0.000 0.001
0.000 9.374 4.296
-0.001 1.737 10.164
ATOMIC_POSITIONS angstrom
La 0.000 8.688 8.593
Sm 0.000 0.000 0.000
Nd 1.851 1.950 2.538
Nd 1.850 9.161 11.922
La 1.850 4.203 8.269
La -0.001 6.065 10.608
La 0.000 5.045 3.852
La 1.851 6.907 6.191
La -0.001 2.423 5.867
```

=====

NaScBeB: optimized geometry, PBE-GGA. Values from VASP.

- ΔE_f (meV/atom) = 199
- DOS at the Fermi energy (states/eV per atom) = 0.59
- polymorph energy (0 for the lowest one) (meV per atom) = 143

```
&SYSTEM
  ibrav = 0, nat = 4, ntyp = 4
/
ATOMIC_SPECIES
B 10.81 B.upf
Na 22.99 Na.upf
Be 9.01 Be.upf
Sc 44.96 Sc.upf
CELL_PARAMETERS angstrom
4.403 0.000 0.000
-2.202 3.813 0.000
0.000 0.000 3.647
ATOMIC_POSITIONS angstrom
B 0.000 2.542 0.000
Na 2.202 1.271 1.824
Be 0.000 2.542 1.824
Sc 0.000 0.000 0.000
```

=====

Y2GaSiGe: optimized geometry, PBE-GGA. Values from VASP.

- DOS at the Fermi energy (states/eV per atom) = 0.40
- formation energy from raw total energies (eV/atom) = -0.55

```
&SYSTEM
  ibrav = 0, nat = 10, ntyp = 4
/
ATOMIC_SPECIES
Ge 72.64 Ge.upf
Ga 69.72 Ga.upf
Y 88.91 Y.upf
Si 28.09 Si.upf
CELL_PARAMETERS angstrom
4.011 0.000 0.000
0.000 7.182 0.118
0.000 -2.929 8.017
ATOMIC_POSITIONS angstrom
Ge 3.008 0.548 1.376
Ga 3.008 2.757 2.237
Ga 1.003 1.496 5.899
Y 1.003 -0.952 7.800
Y 1.003 -0.004 3.327
Si 1.003 4.265 2.449
Y 3.008 5.204 0.336
Si 3.008 -0.012 5.686
Ge 1.003 3.705 6.760
Y 3.008 4.257 4.809
```

=====

TlClF2: optimized geometry, PBE-GGA. Values from VASP.

- DOS at the Fermi energy (states/eV per atom) = 0.00
- formation energy from raw total energies (eV/atom) = -1.40
- polymorph energy (0 for the lowest one) (meV per atom) = 0

```
&SYSTEM
  ibrav = 0, nat = 16, ntyp = 3
/
ATOMIC_SPECIES
Tl 204.38 Tl.upf
Cl 35.45 Cl.upf
F 19.00 F.upf
CELL_PARAMETERS angstrom
5.509 0.000 0.000
0.000 5.802 -0.003
0.000 0.004 11.050
ATOMIC_POSITIONS angstrom
Tl 2.755 1.454 10.032
Tl 2.754 4.352 1.016
Tl 0.000 1.453 6.542
Cl 1.377 3.037 2.761
F 1.601 3.305 10.437
Cl 1.378 0.138 8.287
Cl 4.133 2.769 8.287
F 3.909 2.502 0.610
F 1.154 3.303 6.135
F 4.355 5.405 6.134
F 4.355 2.503 4.913
F 3.909 5.406 10.437
F 1.154 0.401 4.913
Cl 4.131 5.669 2.760
F 1.600 0.400 0.611
Tl 5.509 4.353 4.505
```

=====

ReTc2Rh2: optimized geometry, PBE-GGA. Values from VASP.

- ΔE_f (meV/atom) = -127
- DOS at the Fermi energy (states/eV per atom) = 0.91
- polymorph energy (0 for the lowest one) (meV per atom) = 0

```
&SYSTEM
  ibrav = 0, nat = 10, ntyp = 3
/
ATOMIC_SPECIES
Re 186.21 Re.upf
Tc 98.00 Tc.upf
Rh 102.91 Rh.upf
CELL_PARAMETERS angstrom
1.009 4.660 -0.398
-4.723 1.169 1.745
-0.848 3.185 6.502
ATOMIC_POSITIONS angstrom
Re -1.030 2.388 1.605
Tc -1.294 5.240 5.412
Rh -1.099 7.763 6.568
Tc -1.614 2.755 4.279
Rh -3.791 4.105 5.107
Re -3.531 6.626 6.244
Tc -2.948 6.259 3.569
Rh -0.770 4.909 2.742
Tc -3.268 3.774 2.437
Rh -3.463 1.251 1.281
```

=====

PmHg2B2O6: optimized geometry, PBE-GGA. Values from VASP.

- DOS at the Fermi energy (states/eV per atom) = 0.11
- formation energy from raw total energies (eV/atom) = -1.90

```
&SYSTEM
  ibrav = 0, nat = 11, ntyp = 4
/
ATOMIC_SPECIES
Hg 200.59 Hg.upf
O 16.00 O.upf
B 10.81 B.upf
Pm 145.00 Pm.upf
CELL_PARAMETERS angstrom
5.526 0.000 0.000
-2.763 4.793 -0.983
0.000 -3.928 6.901
ATOMIC_POSITIONS angstrom
Hg 0.000 -0.460 5.673
O -1.591 3.374 0.786
B 2.763 1.504 4.229
O 1.172 -2.509 5.132
O 4.354 -2.509 5.132
O 0.000 0.707 1.573
O 2.763 0.159 4.345
Hg 2.763 1.325 0.245
O 1.591 3.374 0.786
Pm 2.763 -1.964 3.451
B 0.000 -0.639 1.689
```

=====

CaMgTa2: optimized geometry, PBE-GGA. Values from VASP.

- ΔE_f (meV/atom) = 680
- DOS at the Fermi energy (states/eV per atom) = 1.90

```
&SYSTEM
  ibrav = 0, nat = 4, ntyp = 3
/
ATOMIC_SPECIES
Ca 40.08 Ca.upf
Ta 180.95 Ta.upf
Mg 24.30 Mg.upf
CELL_PARAMETERS angstrom
5.103 0.000 0.000
0.000 4.108 0.000
0.000 0.000 4.108
ATOMIC_POSITIONS angstrom
Ca 2.551 2.054 0.000
Ta 0.000 2.054 2.054
Mg 2.551 0.000 2.054
Ta 0.000 0.000 0.000
```

=====

KMnCdAs2: optimized geometry, PBE-GGA. Values from VASP.

- ΔE_f (meV/atom) = 1552
- DOS at the Fermi energy (states/eV per atom) = 1.07

```
&SYSTEM
  ibrav = 0, nat = 5, ntyp = 4
/
ATOMIC_SPECIES
As 74.92 As.upf
Cd 112.41 Cd.upf
K 39.10 K.upf
Mn 54.94 Mn.upf
CELL_PARAMETERS angstrom
-5.341 0.319 -1.343
1.277 -0.088 -5.099
-0.332 -5.506 0.012
ATOMIC_POSITIONS angstrom
As -0.166 -2.753 0.006
Cd -2.198 -2.638 -3.215
As -2.670 0.160 -0.672
K 0.000 0.000 0.000
Mn 0.638 -0.044 -2.549
```

=====

AcLaPr: optimized geometry, PBE-GGA. Values from VASP.

- ΔE_f (meV/atom) = 77
- DOS at the Fermi energy (states/eV per atom) = 1.60
- polymorph energy (0 for the lowest one) (meV per atom) = 57

```
&SYSTEM
  ibrav = 0, nat = 6, ntyp = 3
/
ATOMIC_SPECIES
Ac 227.00 Ac.upf
Pr 140.91 Pr.upf
La 138.91 La.upf
CELL_PARAMETERS angstrom
-1.982 -5.243 0.883
3.389 -1.104 1.052
-0.728 2.157 11.174
ATOMIC_POSITIONS angstrom
Ac -0.283 -2.593 11.320
Pr 0.497 -3.465 7.891
Ac 0.962 -1.598 1.789
La 1.281 -4.341 4.448
La -0.601 0.151 8.661
Pr 0.182 -0.725 5.218
```

=====

HfBeAl2Tc: optimized geometry, PBE-GGA. Values from VASP.

- ΔE_f (meV/atom) = 123
- DOS at the Fermi energy (states/eV per atom) = 0.43

```
&SYSTEM
  ibrav = 0, nat = 5, ntyp = 4
/
ATOMIC_SPECIES
Hf 178.49 Hf.upf
Al 26.98 Al.upf
Tc 98.00 Tc.upf
Be 9.01 Be.upf
CELL_PARAMETERS angstrom
-1.029 2.753 -3.047
-2.103 -3.104 -2.094
-3.545 0.990 2.091
ATOMIC_POSITIONS angstrom
Hf -3.338 0.319 -1.525
Al -0.514 1.376 -1.524
Tc -1.051 -1.552 -1.047
Be 0.000 0.000 0.000
Al -1.772 0.495 1.046
```

=====

Er4TlC: optimized geometry, PBE-GGA. Values from VASP.

- ΔE_f (meV/atom) = -219
- DOS at the Fermi energy (states/eV per atom) = 1.08

```
&SYSTEM
  ibrav = 0, nat = 12, ntyp = 3
/
ATOMIC_SPECIES
Er 167.26 Er.upf
C 12.01 C.upf
Tl 204.38 Tl.upf
CELL_PARAMETERS angstrom
-5.076 1.687 -2.805
-3.244 -5.410 2.611
1.652 4.741 6.368
ATOMIC_POSITIONS angstrom
Er -0.528 1.151 2.532
C -0.796 -0.335 4.490
Er -4.591 -0.274 0.532
Er -1.319 4.284 3.859
Er -6.140 -0.133 3.642
Er -2.839 -1.324 3.457
Tl -1.297 -1.191 0.385
Er -2.077 1.292 5.642
Tl -5.372 2.209 5.789
Er -3.829 2.342 2.717
C -1.712 3.214 1.781
Er -5.349 -3.266 2.316
```

=====

La2TlCd: optimized geometry, PBE-GGA. Values from VASP.

- ΔE_f (meV/atom) = -200
- DOS at the Fermi energy (states/eV per atom) = 1.21
- polymorph energy (0 for the lowest one) (meV per atom) = 186

```
&SYSTEM
  ibrav = 0, nat = 4, ntyp = 3
/
ATOMIC_SPECIES
La 138.91 La.upf
Cd 112.41 Cd.upf
Tl 204.38 Tl.upf
CELL_PARAMETERS angstrom
-4.743 1.793 2.320
-4.860 -2.078 1.777
1.186 -0.948 6.509
ATOMIC_POSITIONS angstrom
La 0.002 -0.003 0.024
La -4.210 -0.613 5.279
Cd -2.104 -0.308 2.652
Tl -6.313 -0.925 7.955
```

=====

Q: The lowest DOS at the Fermi energy belongs to which entry?
A: TlClF2